12
Lattice="3.582 -4.976 0.000 3.582 4.976 0.000 -3.566 0.000 10.720" Properties=species:S:1:pos:R:3 comment="Pm7Dy3Sc2 (PBE, relaxed)" delta_e_f_ev_per_atom=0.036 total_magnetization_mub_per_atom=0.0000 spacegroup="No. 12" e_above_lowest_polymorph_ev_per_atom=0.000 volume_a3_per_cell=382.1 n_ef_per_ev_atom=1.5028 pbc="T T T"
Pm 0.000 0.000 0.000
Pm 1.793 2.488 1.828
Pm 1.798 2.488 5.360
Pm 1.804 2.488 8.893
Pm 1.793 -2.488 1.828
Pm 1.798 -2.488 5.360
Pm 1.804 -2.488 8.893
Dy 0.005 0.000 3.620
Dy 3.582 0.000 0.000
Dy 3.592 0.000 7.100
Sc 0.009 0.000 7.140
Sc 3.587 0.000 3.581